Record 1
The following is a DFT calculation (PBE) of a relaxed MnSiTc crystal.

Cell: 2.7063 2.7063 6.0216 Å, 90.00 90.00 120.00°
Fractional positions:
Mn (0.0000, 0.0000, 0.0000)
Si (0.6667, 0.3333, 0.3157)
Tc (0.3333, 0.6667, 0.6696)

Summary:
ΔE_f (raw) in meV per atom: -82.7
Calculated volume in Å³ per cell: 38
Excess energy over the best structure of this formula in the dataset in meV per atom: 264

***

Record 2
The following is a DFT calculation (PBE) of a relaxed K3Au crystal.

Cell: 8.8712 8.8712 8.8712 Å, 152.49 142.22 47.37°
Fractional positions:
K (0.0000, 0.0000, 0.0000)
K (0.3337, 0.8337, 0.5000)
K (0.6663, 0.1663, 0.5000)
Au (0.5000, 0.5000, 0.0000)

Summary:
Calculated volume in Å³ per cell: 197
Energy of formation in eV/f.u.: -0.6

***

Record 3
The following is a DFT calculation (PBE) of a relaxed TeMo2As crystal.

Cell: 4.7703 4.7703 5.0969 Å, 104.82 104.82 40.86°
Fractional positions:
Te (0.0000, 0.0000, 0.0000)
Mo (0.5146, 0.5146, 0.5669)
Mo (0.7486, 0.7486, 0.2092)
As (0.2365, 0.2365, 0.5870)

Summary:
ΔE_f (raw) in meV per atom: 88.4
Calculated volume in Å³ per cell: 73
Excess energy over the best structure of this formula in the dataset in meV per atom: 31

***

Record 4
The following is a DFT calculation (PBE) of a relaxed BaCoHg2 crystal.

Cell: 3.7245 3.7245 7.5168 Å, 90.00 90.00 90.00°
Fractional positions:
Ba (0.0000, 0.0000, 0.0000)
Co (0.5000, 0.5000, 0.3251)
Hg (0.0000, 0.0000, 0.4276)
Hg (0.5000, 0.5000, 0.6822)

Summary:
Calculated volume in Å³ per cell: 104
Energy of formation in eV/f.u.: 0.7

***

Record 5
The following is a DFT calculation (PBE) of a relaxed Cd2In8Hg crystal.

Cell: 8.6374 8.6374 7.6338 Å, 105.10 105.10 31.70°
Fractional positions:
Cd (0.2292, 0.2292, 0.1345)
Cd (0.7708, 0.7708, 0.8655)
In (0.0483, 0.0483, 0.2306)
In (0.1359, 0.1359, 0.6882)
In (0.3171, 0.3171, 0.5862)
In (0.4055, 0.4055, 0.0393)
In (0.5945, 0.5945, 0.9607)
In (0.6829, 0.6829, 0.4138)
In (0.8641, 0.8641, 0.3118)
In (0.9517, 0.9517, 0.7694)
Hg (0.5000, 0.5000, 0.5000)

Summary:
Calculated volume in Å³ per cell: 288
Energy of formation in eV/f.u.: 0.2

***

Record 6
The following is a DFT calculation (PBE) of a relaxed V2OsW6 crystal.

Cell: 6.6182 6.6182 5.3852 Å, 100.23 100.23 39.82°
Fractional positions:
V (0.0985, 0.0985, 0.4783)
V (0.9015, 0.9015, 0.5217)
Os (0.0000, 0.0000, 0.0000)
W (0.2917, 0.2917, 0.3501)
W (0.3027, 0.3027, 0.8644)
W (0.4962, 0.4962, 0.2562)
W (0.5038, 0.5038, 0.7438)
W (0.6973, 0.6973, 0.1356)
W (0.7083, 0.7083, 0.6499)

Summary:
Calculated volume in Å³ per cell: 148
Energy of formation in eV/f.u.: 4.1

***

Record 7
The following is a DFT calculation (PBE) of a relaxed CsNa2BiCl6 crystal.

Cell: 7.9475 7.9475 7.9475 Å, 55.53 55.53 55.53°
Fractional positions:
Cs (0.0000, 0.0000, 0.0000)
Na (0.2673, 0.2673, 0.2673)
Na (0.7894, 0.7894, 0.7894)
Bi (0.4644, 0.4644, 0.4644)
Cl (0.0642, 0.5889, 0.4744)
Cl (0.2007, 0.5300, 0.8642)
Cl (0.4744, 0.0642, 0.5889)
Cl (0.5300, 0.8642, 0.2007)
Cl (0.5889, 0.4744, 0.0642)
Cl (0.8642, 0.2007, 0.5300)

Summary:
ΔE_f (raw) in meV per atom: -1536.0
Calculated volume in Å³ per cell: 318

***

Record 8
The following is a DFT calculation (PBE) of a relaxed Ho4TmGa crystal.

Cell: 7.9959 7.9959 6.2011 Å, 99.68 99.68 114.11°
Fractional positions:
Ho (0.0830, 0.7177, 0.9552)
Ho (0.1639, 0.3935, 0.6216)
Ho (0.2823, 0.9170, 0.5448)
Ho (0.3935, 0.1639, 0.1216)
Ho (0.6065, 0.8361, 0.8784)
Ho (0.7177, 0.0830, 0.4552)
Ho (0.8361, 0.6065, 0.3784)
Ho (0.9170, 0.2823, 0.0448)
Tm (0.4054, 0.5946, 0.2500)
Tm (0.5946, 0.4054, 0.7500)
Ga (0.0005, 0.9995, 0.7500)
Ga (0.9995, 0.0005, 0.2500)

Summary:
Calculated volume in Å³ per cell: 344
Energy of formation in eV/f.u.: -0.6

***

Question: What is the calculated volume in the first record?
Answer: 38 Å³ per cell